[1]
LiTcRh2S | GGA-PBE | optimized geometry

POSCAR file:
```
LiTcRh2S
1.0
4.1129 0.0000 0.0000
0.0000 4.1050 0.0000
0.0000 0.0000 4.1129
S Rh Tc Li
1 2 1 1
direct
0.0000 0.5000 0.0000 S
0.0000 0.0000 0.5000 Rh
0.5000 0.0000 0.0000 Rh
0.5000 0.5000 0.5000 Tc
0.0000 0.0000 0.0000 Li
```

Properties
Formation energy (no corrections), eV/atom: 0.929

[2]
Li3URh2S6 | GGA-PBE | optimized geometry

POSCAR file:
```
Li3URh2S6
1.0
-1.5438 3.0841 -5.0761
4.4906 -4.1777 -0.2068
-5.1390 -4.0462 0.3345
Li U Rh S
3 1 2 6
direct
0.1656 0.8344 0.5000 Li
0.8344 0.1656 0.5000 Li
0.5000 0.5000 0.5000 Li
0.0000 0.0000 0.0000 U
0.3331 0.6669 0.0000 Rh
0.6669 0.3331 0.0000 Rh
0.9223 0.5632 0.7658 S
0.7191 0.7191 0.2358 S
0.0777 0.4368 0.2342 S
0.5632 0.9223 0.7658 S
0.2809 0.2809 0.7642 S
0.4368 0.0777 0.2342 S
```

Properties
Formation energy (no corrections), eV/atom: -1.018

[3]
LiURhS4 | GGA-PBE | optimized geometry

POSCAR file:
```
LiURhS4
1.0
-1.1007 7.2086 1.6130
-6.2887 2.3819 2.3534
0.5697 2.4655 6.6601
Li U Rh S
2 2 2 8
direct
0.6689 0.5811 0.0811 Li
0.3311 0.4189 0.9189 Li
0.0000 0.0000 0.0000 U
0.0000 0.5000 0.5000 U
0.5000 0.0000 0.5000 Rh
0.0000 0.0000 0.5000 Rh
0.7170 0.8399 0.7261 S
0.2830 0.7739 0.6601 S
0.7170 0.2261 0.3399 S
0.2830 0.1601 0.2739 S
0.2535 0.7252 0.2252 S
0.7960 0.7252 0.2252 S
0.2040 0.2748 0.7748 S
0.7465 0.2748 0.7748 S
```

Properties
Formation energy (no corrections), eV/atom: -1.051

[4]
Li2URh2S6 | GGA-PBE | optimized geometry

POSCAR file:
```
Li2URh2S6
1.0
6.0947 -0.0476 0.0593
-3.0537 5.2747 0.0593
-1.0856 -1.8661 6.2611
Li U Rh S
2 1 2 6
direct
0.8374 0.1626 0.0000 Li
0.1626 0.8374 0.0000 Li
0.0000 0.0000 0.5000 U
0.3336 0.6664 0.5000 Rh
0.6664 0.3336 0.5000 Rh
0.7185 0.7185 0.7328 S
0.0732 0.4385 0.7292 S
0.2815 0.2815 0.2672 S
0.4385 0.0732 0.7292 S
0.9268 0.5615 0.2708 S
0.5615 0.9268 0.2708 S
```

Properties
Formation energy (no corrections), eV/atom: -0.990

Asked for total moment across the records above, the calculation gives 0.3; 2.1; 1.6; 2.0 μB/f.u. in order.